Material: ReAgCl2
Method: DFT, PBE
State: optimized geometry

abc: 4.518 4.518 7.644
angles: 90.00 90.00 90.00
Space group I4/mmm (No. 139)
Asymmetric unit:
Re (0.000, 0.000, 0.000) [2 per cell]
Ag (0.000, 0.000, 0.500) [2 per cell]
Cl (0.000, 0.500, 0.250) [4 per cell]

Results
Density of states at the Fermi level: 0.348 states/eV per atom
Energy: -29.5 eV/cell
Polymorph energy (0 for the lowest one): 3.489 eV/f.u.
E_form (uncorrected): 4.22 eV/f.u.
M_tot: 4.15 μB/f.u.